(1)
Here is an optimized crystal structure of LaCdCo2 from Alexandria via LeMat-Bulk. Energies are from GGA-PBE.

E_form = 0.26 eV per atom
V = 77.4 Å³/cell
Uncorrected energy = -4.75 eV per atom

Geometry as CIF:
```
data_LaCdCo2
_cell_length_a 3.4655
_cell_length_b 3.4655
_cell_length_c 6.4430
_cell_angle_alpha 90.00
_cell_angle_beta 90.00
_cell_angle_gamma 90.00
_space_group_name_H-M_alt 'P 1'
_space_group_IT_number 1
_space_group_name_Hall 'P 1'
loop_
_atom_site_label
_atom_site_type_symbol
_atom_site_fract_x
_atom_site_fract_y
_atom_site_fract_z
Cd1 Cd 0.5000 0.5000 0.7500
Co1 Co 0.0000 0.0000 0.9376
Co2 Co 0.0000 0.0000 0.5624
La1 La 0.5000 0.5000 0.2500
```

(2)
Here is an optimized crystal structure of La2CdCo2 from Alexandria via LeMat-Bulk. Energies are from GGA-PBE.

E_form = 0.03 eV per atom
V = 115.1 Å³/cell
Uncorrected energy = -4.97 eV per atom

Geometry as CIF:
```
data_La2CdCo2
_cell_length_a 5.4136
_cell_length_b 5.4136
_cell_length_c 5.4840
_cell_angle_alpha 60.42
_cell_angle_beta 60.42
_cell_angle_gamma 90.00
_space_group_name_H-M_alt 'P 1'
_space_group_IT_number 1
_space_group_name_Hall 'P 1'
loop_
_atom_site_label
_atom_site_type_symbol
_atom_site_fract_x
_atom_site_fract_y
_atom_site_fract_z
Cd1 Cd 0.0000 0.0000 0.0000
Co1 Co 0.3409 0.3409 0.3182
Co2 Co 0.6591 0.6591 0.6818
La1 La 0.7500 0.2500 0.5000
La2 La 0.2500 0.7500 0.5000
```

(3)
Here is an optimized crystal structure of La5Cd2Co from Alexandria via LeMat-Bulk. Energies are from GGA-PBE.

E_form = -0.19 eV per atom
V = 499.5 Å³/cell
Uncorrected energy = -4.39 eV per atom

Geometry as CIF:
```
data_La5Cd2Co
_cell_length_a 5.0117
_cell_length_b 8.3406
_cell_length_c 11.9505
_cell_angle_alpha 90.00
_cell_angle_beta 90.00
_cell_angle_gamma 90.00
_space_group_name_H-M_alt 'P 1'
_space_group_IT_number 1
_space_group_name_Hall 'P 1'
loop_
_atom_site_label
_atom_site_type_symbol
_atom_site_fract_x
_atom_site_fract_y
_atom_site_fract_z
La1 La 0.0000 0.0000 0.5000
La2 La 0.0000 0.5000 0.0000
La3 La 0.0000 0.8709 0.1912
La4 La 0.0000 0.1291 0.8088
La5 La 0.0000 0.6291 0.6912
La6 La 0.0000 0.3709 0.3088
La7 La 0.5000 0.6807 0.4271
La8 La 0.5000 0.3193 0.5729
La9 La 0.5000 0.8193 0.9271
La10 La 0.5000 0.1807 0.0729
Cd1 Cd 0.5000 0.5768 0.1630
Cd2 Cd 0.5000 0.4232 0.8370
Cd3 Cd 0.5000 0.9232 0.6630
Cd4 Cd 0.5000 0.0768 0.3370
Co1 Co 0.0000 0.5000 0.5000
Co2 Co 0.0000 0.0000 0.0000
```

(4)
Here is an optimized crystal structure of LiLaCdCo from Alexandria via LeMat-Bulk. Energies are from GGA-PBE.

E_form = 0.01 eV per atom
V = 79.2 Å³/cell
Uncorrected energy = -3.71 eV per atom

Geometry as CIF:
```
data_LiLaCdCo
_cell_length_a 4.8211
_cell_length_b 4.8211
_cell_length_c 4.8211
_cell_angle_alpha 60.00
_cell_angle_beta 60.00
_cell_angle_gamma 60.00
_space_group_name_H-M_alt 'P 1'
_space_group_IT_number 1
_space_group_name_Hall 'P 1'
loop_
_atom_site_label
_atom_site_type_symbol
_atom_site_fract_x
_atom_site_fract_y
_atom_site_fract_z
Cd1 Cd 0.2500 0.2500 0.2500
Co1 Co 0.5000 0.5000 0.5000
Li1 Li 0.0000 0.0000 0.0000
La1 La 0.7500 0.7500 0.7500
```

(5)
Here is an optimized crystal structure of LiLa2CdCo from Alexandria via LeMat-Bulk. Energies are from GGA-PBE.

E_form = -0.11 eV per atom
Polymorph energy (0 for the lowest one) = 0 meV/atom
V = 141.4 Å³/cell
Uncorrected energy = -4.07 eV per atom

Geometry as CIF:
```
data_LiLa2CdCo
_cell_length_a 5.2277
_cell_length_b 5.2277
_cell_length_c 5.1743
_cell_angle_alpha 90.00
_cell_angle_beta 90.00
_cell_angle_gamma 90.00
_space_group_name_H-M_alt 'P 1'
_space_group_IT_number 1
_space_group_name_Hall 'P 1'
loop_
_atom_site_label
_atom_site_type_symbol
_atom_site_fract_x
_atom_site_fract_y
_atom_site_fract_z
Cd1 Cd 0.0000 0.0000 0.5000
Co1 Co 0.0000 0.0000 0.0000
Li1 Li 0.5000 0.5000 0.5000
La1 La 0.0000 0.5000 0.0000
La2 La 0.5000 0.0000 0.0000
```

(6)
Here is an optimized crystal structure of LiLa2CdCo from Alexandria via LeMat-Bulk. Energies are from GGA-PBE.

E_form = -0.09 eV per atom
Polymorph energy (0 for the lowest one) = 16 meV/atom
V = 135.3 Å³/cell
Uncorrected energy = -4.05 eV per atom

Geometry as CIF:
```
data_LiLa2CdCo
_cell_length_a 5.1778
_cell_length_b 5.1778
_cell_length_c 5.0454
_cell_angle_alpha 90.00
_cell_angle_beta 90.00
_cell_angle_gamma 90.00
_space_group_name_H-M_alt 'P 1'
_space_group_IT_number 1
_space_group_name_Hall 'P 1'
loop_
_atom_site_label
_atom_site_type_symbol
_atom_site_fract_x
_atom_site_fract_y
_atom_site_fract_z
Cd1 Cd 0.5000 0.5000 0.5000
Co1 Co 0.0000 0.0000 0.0000
Li1 Li 0.0000 0.0000 0.5000
La1 La 0.0000 0.5000 0.0000
La2 La 0.5000 0.0000 0.0000
```

(7)
Here is an optimized crystal structure of LaMg2CdCo from Alexandria via LeMat-Bulk. Energies are from GGA-PBE.

E_form = -0.07 eV per atom
Polymorph energy (0 for the lowest one) = 0 meV/atom
V = 126.2 Å³/cell
Uncorrected energy = -3.30 eV per atom

Geometry as CIF:
```
data_LaMg2CdCo
_cell_length_a 5.0485
_cell_length_b 5.0485
_cell_length_c 4.9525
_cell_angle_alpha 90.00
_cell_angle_beta 90.00
_cell_angle_gamma 90.00
_space_group_name_H-M_alt 'P 1'
_space_group_IT_number 1
_space_group_name_Hall 'P 1'
loop_
_atom_site_label
_atom_site_type_symbol
_atom_site_fract_x
_atom_site_fract_y
_atom_site_fract_z
Mg1 Mg 0.0000 0.5000 0.0000
Mg2 Mg 0.5000 0.0000 0.0000
Cd1 Cd 0.5000 0.5000 0.5000
Co1 Co 0.0000 0.0000 0.0000
La1 La 0.0000 0.0000 0.5000
```

(8)
Here is an optimized crystal structure of LaMg2CdCo from Alexandria via LeMat-Bulk. Energies are from GGA-PBE.

E_form = 0.02 eV per atom
Polymorph energy (0 for the lowest one) = 92 meV/atom
V = 118.4 Å³/cell
Uncorrected energy = -3.20 eV per atom

Geometry as CIF:
```
data_LaMg2CdCo
_cell_length_a 4.8418
_cell_length_b 4.8418
_cell_length_c 5.0494
_cell_angle_alpha 90.00
_cell_angle_beta 90.00
_cell_angle_gamma 90.00
_space_group_name_H-M_alt 'P 1'
_space_group_IT_number 1
_space_group_name_Hall 'P 1'
loop_
_atom_site_label
_atom_site_type_symbol
_atom_site_fract_x
_atom_site_fract_y
_atom_site_fract_z
Mg1 Mg 0.0000 0.5000 0.0000
Mg2 Mg 0.5000 0.0000 0.0000
Cd1 Cd 0.0000 0.0000 0.5000
Co1 Co 0.0000 0.0000 0.0000
La1 La 0.5000 0.5000 0.5000
```

(9)
Here is an optimized crystal structure of La6Cd2CoN from Alexandria via LeMat-Bulk. Energies are from GGA-PBE.

V = 291.3 Å³/cell
Uncorrected energy = -5.08 eV per atom
E_form (uncorrected) = -0.401 eV per atom

Geometry as CIF:
```
data_La6Cd2CoN
_cell_length_a 7.4105
_cell_length_b 7.4454
_cell_length_c 7.4583
_cell_angle_alpha 119.30
_cell_angle_beta 119.95
_cell_angle_gamma 91.13
_space_group_name_H-M_alt 'P 1'
_space_group_IT_number 1
_space_group_name_Hall 'P 1'
loop_
_atom_site_label
_atom_site_type_symbol
_atom_site_fract_x
_atom_site_fract_y
_atom_site_fract_z
La1 La 0.7764 0.8326 0.0873
La2 La 0.7253 0.7071 0.5214
La3 La 0.2233 0.1681 0.9121
La4 La 0.7755 0.2666 0.9832
La5 La 0.2746 0.2937 0.4782
La6 La 0.2243 0.7343 0.0165
Cd1 Cd 0.7433 0.2467 0.5016
Cd2 Cd 0.2565 0.7541 0.4980
Co1 Co 0.4999 0.5004 0.9998
N1 N 0.9999 0.0004 0.9999
```

(10)
Here is an optimized crystal structure of NaLaCd2Co from Alexandria via LeMat-Bulk. Energies are from GGA-PBE.

E_form = -0.08 eV per atom
V = 134.0 Å³/cell
Uncorrected energy = -3.11 eV per atom

Geometry as CIF:
```
data_NaLaCd2Co
_cell_length_a 5.2491
_cell_length_b 5.2491
_cell_length_c 4.8626
_cell_angle_alpha 90.00
_cell_angle_beta 90.00
_cell_angle_gamma 90.00
_space_group_name_H-M_alt 'P 1'
_space_group_IT_number 1
_space_group_name_Hall 'P 1'
loop_
_atom_site_label
_atom_site_type_symbol
_atom_site_fract_x
_atom_site_fract_y
_atom_site_fract_z
Na1 Na 0.5000 0.5000 0.5000
Cd1 Cd 0.0000 0.5000 0.0000
Cd2 Cd 0.5000 0.0000 0.0000
Co1 Co 0.0000 0.0000 0.0000
La1 La 0.0000 0.0000 0.5000
```

(11)
Here is an optimized crystal structure of La3Nd3Cd2Co from Alexandria via LeMat-Bulk. Energies are from GGA-PBE.

E_form = -0.18 eV per atom
V = 265.4 Å³/cell
Uncorrected energy = -4.41 eV per atom

Geometry as CIF:
```
data_La3Nd3Cd2Co
_cell_length_a 3.7845
_cell_length_b 8.9991
_cell_length_c 8.9991
_cell_angle_alpha 120.00
_cell_angle_beta 90.00
_cell_angle_gamma 90.00
_space_group_name_H-M_alt 'P 1'
_space_group_IT_number 1
_space_group_name_Hall 'P 1'
loop_
_atom_site_label
_atom_site_type_symbol
_atom_site_fract_x
_atom_site_fract_y
_atom_site_fract_z
La1 La 0.5000 0.7686 0.0000
La2 La 0.5000 0.0000 0.7686
La3 La 0.5000 0.2314 0.2314
Nd1 Nd 0.0000 0.5957 0.5957
Nd2 Nd 0.0000 0.0000 0.4043
Nd3 Nd 0.0000 0.4043 0.0000
Cd1 Cd 0.5000 0.6667 0.3333
Cd2 Cd 0.5000 0.3333 0.6667
Co1 Co 0.0000 0.0000 0.0000
```

(12)
Here is an optimized crystal structure of La6Cd2CoOs from Alexandria via LeMat-Bulk. Energies are from GGA-PBE.

E_form = -0.18 eV per atom
V = 323.1 Å³/cell
Uncorrected energy = -5.15 eV per atom

Geometry as CIF:
```
data_La6Cd2CoOs
_cell_length_a 7.7435
_cell_length_b 7.7675
_cell_length_c 7.7788
_cell_angle_alpha 121.45
_cell_angle_beta 121.45
_cell_angle_gamma 87.57
_space_group_name_H-M_alt 'P 1'
_space_group_IT_number 1
_space_group_name_Hall 'P 1'
loop_
_atom_site_label
_atom_site_type_symbol
_atom_site_fract_x
_atom_site_fract_y
_atom_site_fract_z
La1 La 0.7466 0.7631 0.0090
La2 La 0.8093 0.6933 0.5086
La3 La 0.2532 0.2377 0.9906
La4 La 0.7020 0.1940 0.8818
La5 La 0.1905 0.3075 0.4910
La6 La 0.2978 0.8068 0.1177
Cd1 Cd 0.7481 0.2490 0.4964
Cd2 Cd 0.2517 0.7518 0.5032
Co1 Co 0.9999 0.0004 0.9998
Os1 Os 0.4999 0.5004 0.9998
```